Computed, not measured: a geometry-optimized Ca2Sn4IrPd3 structure at the PBE level of DFT.

Calculated values
Energy of formation = -588.9 kJ/mol of formula units

```
Ca2Sn4IrPd3
1.0
-4.091 -1.024 -1.182
-0.731 -1.675 3.980
-3.667 10.384 3.695
Sn Pd Ca Ir
4 3 2 1
Cartesian
-2.411 -1.349 1.399
0.000 0.000 0.000
-1.719 2.996 3.354
-4.359 6.039 1.740
-1.833 5.192 1.848
-5.187 8.385 2.575
-0.891 0.650 2.519
-3.107 6.928 4.753
-2.970 2.107 0.341
-4.244 3.843 3.247
```

Computed, not measured: a geometry-optimized CaHo3P structure at the PBE level of DFT.

Calculated values
Energy of formation = -210.9 kJ/mol of formula units

```
CaHo3P
1.0
5.408 0.000 0.000
0.000 5.408 0.000
0.000 0.000 5.408
Ca Ho P
1 3 1
Cartesian
2.704 2.704 2.704
0.000 2.704 0.000
2.704 0.000 0.000
0.000 0.000 2.704
0.000 0.000 0.000
```

Computed, not measured: a geometry-optimized K3Pu2HfTe6 structure at the PBE level of DFT.

Calculated values
E_form (uncorrected) = -1.0547 eV per atom

```
K3Pu2HfTe6
1.0
7.737 -0.002 -0.003
-3.868 6.701 -0.003
-1.293 -2.239 8.218
Te Hf K Pu
6 1 3 2
Cartesian
0.155 4.462 6.522
3.788 2.364 6.522
2.662 4.610 1.698
-1.212 2.096 1.690
-0.087 -0.150 6.514
2.421 -0.002 1.690
0.000 0.000 0.000
1.288 2.230 4.106
5.091 0.034 4.106
-2.515 4.426 4.106
0.008 4.462 -0.003
3.861 2.237 -0.003
```

Computed, not measured: a geometry-optimized La3Dy2Y4 structure at the PBE level of DFT.

Calculated values
Energy of formation = 87.8 kJ/mol of formula units
Energy above the most stable polymorph in this dataset = 77 meV per atom

```
La3Dy2Y4
1.0
5.827 1.687 1.208
2.040 11.133 0.655
2.040 4.208 10.328
Dy Y La
4 8 6
Cartesian
4.032 5.800 6.020
5.875 11.228 6.172
2.961 8.617 8.037
6.945 8.412 4.155
5.425 10.951 9.606
1.569 3.563 4.316
2.277 9.553 1.326
4.482 6.077 2.586
7.630 7.475 10.866
8.338 13.466 7.876
5.191 5.177 9.221
4.716 11.852 2.971
5.047 2.906 4.039
4.859 14.122 8.153
3.497 8.931 4.622
7.773 13.112 11.346
2.134 3.916 0.846
6.410 8.097 7.570
```

Number 1: total magnetic moment 0.0 μB/f.u.. Number 2: total magnetic moment 0.0 μB/f.u.. Number 3: total magnetic moment 11.0 μB/f.u.. Number 4: total magnetic moment 0.0 μB/f.u..